1.
Entry from Alexandria via LeMat-Bulk: crystalline SmInRu at its relaxed geometry (PBE).

Its symmetry is P3m1 (156). Its formation energy from the elements is -143 meV per atom.

abc: 3.668 4.659 4.659
angles: 120.00 90.00 90.00
Fractional positions:
Ru 0.168 0.333 0.667
Sm 0.666 0.667 0.333
In 0.166 0.000 0.000

2.
Entry from Alexandria via LeMat-Bulk: crystalline LiTmAlCd at its relaxed geometry (PBE).

Its symmetry is F-43m (216). Its formation energy from the elements is -237 meV per atom.

abc: 4.922 4.922 4.922
angles: 60.00 60.00 60.00
Fractional positions:
Tm 0.250 0.250 0.250
Li 0.750 0.750 0.750
Al 0.000 0.000 0.000
Cd 0.500 0.500 0.500

3.
Entry from Alexandria via LeMat-Bulk: crystalline YZr2TlC at its relaxed geometry (PBE).

Its symmetry is P4/mmm (123). Its formation energy from the elements is -419 meV per atom.

abc: 4.617 4.617 4.868
angles: 90.00 90.00 90.00
Fractional positions:
Y 0.000 0.000 0.500
Tl 0.500 0.500 0.500
C 0.000 0.000 0.000
Zr 0.000 0.500 0.000
Zr 0.500 0.000 0.000

4.
Entry from Alexandria via LeMat-Bulk: crystalline Ac5Hg4N at its relaxed geometry (PBE).

Its symmetry is I4 (79). As for the formation energy without anion corrections: -0.47 eV per atom.

abc: 6.181 7.873 7.873
angles: 81.14 66.89 66.89
Fractional positions:
Ac 0.886 0.345 0.875
Ac 0.231 0.875 0.655
Ac 0.761 0.125 0.345
Ac 0.106 0.655 0.125
Ac 0.472 0.000 0.000
Hg 0.443 0.401 0.712
Hg 0.843 0.712 0.599
Hg 0.154 0.288 0.401
Hg 0.555 0.599 0.288
N 0.058 0.000 0.000

Please write out number 1 again, unchanged.
Entry from Alexandria via LeMat-Bulk: crystalline SmInRu at its relaxed geometry (PBE).

Its symmetry is P3m1 (156). Its formation energy from the elements is -143 meV per atom.

abc: 3.668 4.659 4.659
angles: 120.00 90.00 90.00
Fractional positions:
Ru 0.168 0.333 0.667
Sm 0.666 0.667 0.333
In 0.166 0.000 0.000